Record 1
Tl3Pd3Au | PBE-GGA | relaxed

Unit cell a=8.4229 b=8.4229 c=4.7000 alpha=90.00 beta=90.00 gamma=120.00
With the nearest neighbours (Å) after each atom.
Space group P6_3/m (No. 176)
One atom of each set of equivalent atoms:
Tl 0.1004 0.6695 0.2500  4 Pd 2.79-2.90, 2 Au 3.07
Pd 0.0585 0.8364 0.7500  4 Tl 2.79-2.90, 6 Pd 2.89-2.91
Au 0.3333 0.6667 0.7500  9 Tl 3.07-3.32, 3 Pd 3.27

Energy of formation from the pure elements in eV/atom: -0.056

Record 2
Ac3HoF | PBE-GGA | relaxed

Unit cell a=5.5194 b=5.5194 c=5.5194 alpha=90.00 beta=90.00 gamma=90.00
With the nearest neighbours (Å) after each atom.
Space group Pm-3m (No. 221)
One atom of each set of equivalent atoms:
Ac 0.0000 0.0000 0.5000  2 F 2.76
Ho 0.5000 0.5000 0.5000  12 Ac 3.90
F 0.0000 0.0000 0.0000  6 Ac 2.76

E_form (uncorrected) in meV per atom: -936